The following is a GGA+U calculation of a relaxed Cr2TePbO8 crystal, from Alexandria via LeMat-Bulk.

abc: 4.679 4.678 6.468
angles: 90.00 90.00 91.41
Last column: magnetic moment on the atom in μB.
Positions (direct):
Cr 0.500 0.500 0.755  2.96
Cr 0.500 0.500 0.245  2.96
Te 0.000 0.000 0.000  0.01
Pb 0.000 0.000 0.500  0.02
O 0.197 0.803 0.224  -0.01
O 0.699 0.700 0.000  -0.03
O 0.803 0.197 0.224  -0.01
O 0.803 0.197 0.776  -0.01
O 0.301 0.300 0.000  -0.03
O 0.197 0.803 0.776  -0.01
O 0.679 0.680 0.500  -0.03
O 0.321 0.320 0.500  -0.03

Space-group type ... Cmmm (65)
Final energy ... -77.48 eV/cell